No. 1
{
  "formula": "Cu2OsPt",
  "functional": "PBE",
  "state": "relaxed",
  "relative_energy_ev_per_atom": 0.134,
  "delta_e_f_mev_per_atom": 202,
  "crystal_system": "orthorhombic",
  "total_magnetization_mub_per_cell": 0.00,
  "lattice": [[1.363, -2.286, 0.000], [1.363, 2.286, 0.000], [0.000, 0.000, 8.962]],
  "species": ["Cu", "Cu", "Os", "Pt"],
  "frac_coords": [[0.000, 0.000, 0.248], [0.000, 0.000, 0.752], [0.500, 0.500, 0.000], [0.500, 0.500, 0.500]]
}

=====

No. 2
{
  "formula": "CuOsPt2",
  "functional": "PBE",
  "state": "relaxed",
  "relative_energy_ev_per_atom": 0.243,
  "delta_e_f_mev_per_atom": 251,
  "crystal_system": "tetragonal",
  "total_magnetization_mub_per_cell": 0.44,
  "lattice": [[3.849, 0.000, 0.000], [0.000, 3.849, 0.000], [0.000, 0.000, 3.926]],
  "species": ["Cu", "Os", "Pt", "Pt"],
  "frac_coords": [[0.000, 0.000, 0.000], [0.500, 0.500, 0.000], [0.000, 0.500, 0.500], [0.500, 0.000, 0.500]]
}

=====

No. 3
{
  "formula": "Cu2OsPt",
  "functional": "PBE",
  "state": "relaxed",
  "relative_energy_ev_per_atom": 0.199,
  "delta_e_f_mev_per_atom": 266,
  "crystal_system": "orthorhombic",
  "total_magnetization_mub_per_cell": 0.00,
  "lattice": [[1.354, -2.292, 0.000], [1.354, 2.292, 0.000], [0.000, 0.000, 9.031]],
  "species": ["Cu", "Cu", "Os", "Pt"],
  "frac_coords": [[0.000, 0.000, 0.000], [0.500, 0.500, 0.230], [0.000, 0.000, 0.477], [0.500, 0.500, 0.749]]
}

=====

No. 4
{
  "formula": "Cu2OsPt",
  "functional": "PBE",
  "state": "relaxed",
  "relative_energy_ev_per_atom": 0.151,
  "delta_e_f_mev_per_atom": 219,
  "crystal_system": "monoclinic",
  "total_magnetization_mub_per_cell": 0.00,
  "lattice": [[2.624, 0.000, 0.000], [0.000, 4.438, 0.000], [-0.081, 0.000, 4.780]],
  "species": ["Cu", "Cu", "Os", "Pt"],
  "frac_coords": [[0.216, 0.000, 0.239], [0.784, 0.000, 0.761], [0.500, 0.500, 0.000], [0.000, 0.500, 0.500]]
}

=====

Respective electronic total energy values: -6.164 -6.601 -6.100 -6.147 eV per atom.